{
  "formula": "Rb4Hg3Au",
  "functional": "PBE",
  "state": "optimized geometry",
  "cell": [[5.166, 0.000, 0.000], [0.000, 5.209, 0.000], [0.000, 0.000, 12.941]],
  "species": ["Rb", "Rb", "Rb", "Rb", "Hg", "Hg", "Hg", "Au"],
  "frac_coords": [[0.000, 0.000, 0.000], [0.000, 0.500, 0.475], [0.500, 0.000, 0.697], [0.500, 0.500, 0.203], [0.000, 0.500, 0.783], [0.500, 0.000, 0.401], [0.500, 0.500, 0.907], [0.000, 0.000, 0.284]],
  "magmom_total_mub_per_atom": 0.00,
  "spacegroup": "Pmm2",
  "volume_a3_per_atom": 43.53,
  "formation_enthalpy_0k_ev_per_atom": -0.257
}